Entry 1:
# Tc5H2, optimized geometry, DFT PBE
data_Tc5H2
_symmetry_space_group_name_H-M 'C 1 2/c 1'
_symmetry_Int_Tables_number 15
_symmetry_space_group_name_Hall '-C 2yc'
_cell_length_a 12.266
_cell_length_b 4.886
_cell_length_c 5.259
_cell_angle_alpha 90.00
_cell_angle_beta 104.17
_cell_angle_gamma 90.00
loop_
_atom_site_label
_atom_site_type_symbol
_atom_site_fract_x
_atom_site_fract_y
_atom_site_fract_z
Tc1 Tc 0.000 0.077 0.250
Tc2 Tc 0.098 0.414 0.946
Tc3 Tc 0.199 0.084 0.652
H1 H 0.150 0.251 0.300
# N(E_F) = 0.5720 states/eV per atom
# Total DFT energy (no corrections) = -8.42 eV per atom

Entry 2:
# TcH3, optimized geometry, DFT PBE
data_TcH3
_symmetry_space_group_name_H-M 'I m m 2'
_symmetry_Int_Tables_number 44
_symmetry_space_group_name_Hall 'I 2 -2'
_cell_length_a 2.955
_cell_length_b 4.123
_cell_length_c 4.011
_cell_angle_alpha 90.00
_cell_angle_beta 90.00
_cell_angle_gamma 90.00
loop_
_atom_site_label
_atom_site_type_symbol
_atom_site_fract_x
_atom_site_fract_y
_atom_site_fract_z
Tc1 Tc 0.000 0.000 0.000
H1 H 0.000 0.249 0.637
H2 H 0.000 0.500 0.226
# Distance to the lowest polymorph of the same formula = 144.6 meV per atom
# N(E_F) = 0.3569 states/eV per atom
# Total DFT energy (no corrections) = -4.79 eV per atom

Entry 3:
# TcH, optimized geometry, DFT PBE
data_TcH
_symmetry_space_group_name_H-M 'I -4 3 m'
_symmetry_Int_Tables_number 217
_symmetry_space_group_name_Hall 'I -4 2 3'
_cell_length_a 5.454
_cell_length_b 5.454
_cell_length_c 5.454
_cell_angle_alpha 90.00
_cell_angle_beta 90.00
_cell_angle_gamma 90.00
loop_
_atom_site_label
_atom_site_type_symbol
_atom_site_fract_x
_atom_site_fract_y
_atom_site_fract_z
Tc1 Tc 0.187 0.187 0.813
H1 H 0.134 0.134 0.134
# Distance to the lowest polymorph of the same formula = 613.9 meV per atom
# N(E_F) = 0.9155 states/eV per atom
# Total DFT energy (no corrections) = -6.26 eV per atom

Entry 4:
# Tc3H, optimized geometry, DFT PBE
data_Tc3H
_symmetry_space_group_name_H-M 'I m m 2'
_symmetry_Int_Tables_number 44
_symmetry_space_group_name_Hall 'I 2 -2'
_cell_length_a 2.734
_cell_length_b 7.474
_cell_length_c 4.599
_cell_angle_alpha 90.00
_cell_angle_beta 90.00
_cell_angle_gamma 90.00
loop_
_atom_site_label
_atom_site_type_symbol
_atom_site_fract_x
_atom_site_fract_y
_atom_site_fract_z
Tc1 Tc 0.000 0.000 0.000
Tc2 Tc 0.000 0.187 0.513
H1 H 0.000 0.500 0.902
# Distance to the lowest polymorph of the same formula = 0.0 meV per atom
# N(E_F) = 0.8114 states/eV per atom
# Total DFT energy (no corrections) = -8.35 eV per atom

Entry 5:
# TcH, optimized geometry, DFT PBE
data_TcH
_symmetry_space_group_name_H-M 'F -4 3 m'
_symmetry_Int_Tables_number 216
_symmetry_space_group_name_Hall 'F -4 2 3'
_cell_length_a 4.142
_cell_length_b 4.142
_cell_length_c 4.142
_cell_angle_alpha 90.00
_cell_angle_beta 90.00
_cell_angle_gamma 90.00
loop_
_atom_site_label
_atom_site_type_symbol
_atom_site_fract_x
_atom_site_fract_y
_atom_site_fract_z
Tc1 Tc 0.000 0.000 0.000
H1 H 0.250 0.250 0.250
# Distance to the lowest polymorph of the same formula = 189.9 meV per atom
# N(E_F) = 1.0243 states/eV per atom
# Total DFT energy (no corrections) = -6.68 eV per atom

Entry 6:
# TcH, optimized geometry, DFT PBE
data_TcH
_symmetry_space_group_name_H-M 'P 42/m n m'
_symmetry_Int_Tables_number 136
_symmetry_space_group_name_Hall '-P 4n 2n'
_cell_length_a 4.936
_cell_length_b 4.936
_cell_length_c 2.962
_cell_angle_alpha 90.00
_cell_angle_beta 90.00
_cell_angle_gamma 90.00
loop_
_atom_site_label
_atom_site_type_symbol
_atom_site_fract_x
_atom_site_fract_y
_atom_site_fract_z
Tc1 Tc 0.204 0.204 0.000
H1 H 0.157 0.843 0.000
# Distance to the lowest polymorph of the same formula = 255.4 meV per atom
# N(E_F) = 0.5110 states/eV per atom
# Total DFT energy (no corrections) = -6.62 eV per atom

Entry 7:
# TcH, optimized geometry, DFT PBE
data_TcH
_symmetry_space_group_name_H-M 'F d d d'
_symmetry_Int_Tables_number 70
_cell_length_a 5.677
_cell_length_b 5.956
_cell_length_c 8.254
_cell_angle_alpha 90.00
_cell_angle_beta 90.00
_cell_angle_gamma 90.00
loop_
_symmetry_equiv_pos_as_xyz
'x,y,z'
'-x,-y,-z'
'-x+1/4,-y+1/4,z'
'x+1/4,y+1/4,-z'
'x,-y+1/4,-z+1/4'
'-x,y+1/4,z+1/4'
'-x+1/4,y,-z+1/4'
'x+1/4,-y,z+1/4'
'x,y+1/2,z+1/2'
'-x,-y+1/2,-z+1/2'
'-x+1/4,-y+3/4,z+1/2'
'x+1/4,y+3/4,-z+1/2'
'x,-y+3/4,-z+3/4'
'-x,y+3/4,z+3/4'
'-x+1/4,y+1/2,-z+3/4'
'x+1/4,-y+1/2,z+3/4'
'x+1/2,y,z+1/2'
'-x+1/2,-y,-z+1/2'
'-x+3/4,-y+1/4,z+1/2'
'x+3/4,y+1/4,-z+1/2'
'x+1/2,-y+1/4,-z+3/4'
'-x+1/2,y+1/4,z+3/4'
'-x+3/4,y,-z+3/4'
'x+3/4,-y,z+3/4'
'x+1/2,y+1/2,z'
'-x+1/2,-y+1/2,-z'
'-x+3/4,-y+3/4,z'
'x+3/4,y+3/4,-z'
'x+1/2,-y+3/4,-z+1/4'
'-x+1/2,y+3/4,z+1/4'
'-x+3/4,y+1/2,-z+1/4'
'x+3/4,-y+1/2,z+1/4'
loop_
_atom_site_label
_atom_site_type_symbol
_atom_site_fract_x
_atom_site_fract_y
_atom_site_fract_z
Tc1 Tc 0.125 0.343 0.125
H1 H 0.125 0.125 0.514
# Distance to the lowest polymorph of the same formula = 132.2 meV per atom
# N(E_F) = 0.6403 states/eV per atom
# Total DFT energy (no corrections) = -6.74 eV per atom

Entry 8:
# TcH3, optimized geometry, DFT PBE
data_TcH3
_symmetry_space_group_name_H-M 'I 4/m m m'
_symmetry_Int_Tables_number 139
_symmetry_space_group_name_Hall '-I 4 2'
_cell_length_a 2.628
_cell_length_b 2.628
_cell_length_c 9.951
_cell_angle_alpha 90.00
_cell_angle_beta 90.00
_cell_angle_gamma 90.00
loop_
_atom_site_label
_atom_site_type_symbol
_atom_site_fract_x
_atom_site_fract_y
_atom_site_fract_z
Tc1 Tc 0.000 0.000 0.000
H1 H 0.000 0.000 0.176
H2 H 0.000 0.000 0.500
# Distance to the lowest polymorph of the same formula = 512.9 meV per atom
# N(E_F) = 0.3539 states/eV per atom
# Total DFT energy (no corrections) = -4.43 eV per atom

Entry 9:
# TcH3, optimized geometry, DFT PBE
data_TcH3
_symmetry_space_group_name_H-M 'C 1 m 1'
_symmetry_Int_Tables_number 8
_symmetry_space_group_name_Hall 'C -2y'
_cell_length_a 4.846
_cell_length_b 3.181
_cell_length_c 3.141
_cell_angle_alpha 90.00
_cell_angle_beta 96.96
_cell_angle_gamma 90.00
loop_
_atom_site_label
_atom_site_type_symbol
_atom_site_fract_x
_atom_site_fract_y
_atom_site_fract_z
Tc1 Tc 0.000 0.000 0.000
H1 H 0.123 0.500 0.788
H2 H 0.296 0.236 0.360
# Distance to the lowest polymorph of the same formula = 178.8 meV per atom
# N(E_F) = 0.3909 states/eV per atom
# Total DFT energy (no corrections) = -4.76 eV per atom

Entry 10:
# TcH3, optimized geometry, DFT PBE
data_TcH3
_symmetry_space_group_name_H-M 'P 1'
_symmetry_Int_Tables_number 1
_symmetry_space_group_name_Hall 'P 1'
_cell_length_a 2.855
_cell_length_b 2.855
_cell_length_c 4.977
_cell_angle_alpha 74.95
_cell_angle_beta 74.29
_cell_angle_gamma 60.02
loop_
_atom_site_label
_atom_site_type_symbol
_atom_site_fract_x
_atom_site_fract_y
_atom_site_fract_z
Tc1 Tc 0.000 0.000 0.000
H1 H 0.111 0.098 0.661
H2 H 0.393 0.386 0.817
H3 H 0.606 0.613 0.184
# Distance to the lowest polymorph of the same formula = 2.8 meV per atom
# N(E_F) = 0.1876 states/eV per atom
# Total DFT energy (no corrections) = -4.94 eV per atom

Entry 11:
# Tc3H, optimized geometry, DFT PBE
data_Tc3H
_symmetry_space_group_name_H-M 'F m -3 m'
_symmetry_Int_Tables_number 225
_symmetry_space_group_name_Hall '-F 4 2 3'
_cell_length_a 5.899
_cell_length_b 5.899
_cell_length_c 5.899
_cell_angle_alpha 90.00
_cell_angle_beta 90.00
_cell_angle_gamma 90.00
loop_
_atom_site_label
_atom_site_type_symbol
_atom_site_fract_x
_atom_site_fract_y
_atom_site_fract_z
Tc1 Tc 0.000 0.000 0.000
Tc2 Tc 0.250 0.250 0.250
H1 H 0.000 0.000 0.500
# Distance to the lowest polymorph of the same formula = 444.9 meV per atom
# N(E_F) = 0.9153 states/eV per atom
# Total DFT energy (no corrections) = -7.91 eV per atom

Entry 12:
# Tc3H, optimized geometry, DFT PBE
data_Tc3H
_symmetry_space_group_name_H-M 'P m m 2'
_symmetry_Int_Tables_number 25
_symmetry_space_group_name_Hall 'P 2 -2'
_cell_length_a 2.722
_cell_length_b 2.730
_cell_length_c 6.510
_cell_angle_alpha 90.00
_cell_angle_beta 90.00
_cell_angle_gamma 90.00
loop_
_atom_site_label
_atom_site_type_symbol
_atom_site_fract_x
_atom_site_fract_y
_atom_site_fract_z
Tc1 Tc 0.000 0.000 0.000
Tc2 Tc 0.000 0.500 0.346
Tc3 Tc 0.500 0.500 0.716
H1 H 0.500 0.000 0.500
# Distance to the lowest polymorph of the same formula = 107.4 meV per atom
# N(E_F) = 0.8771 states/eV per atom
# Total DFT energy (no corrections) = -8.25 eV per atom

Q: Which value of N(E_F) does entry 1 give?
A: 0.5720 states/eV per atom

Q: Among the records above, which one has the highest N(E_F)?
A: number 5